Computed, not measured: crystalline MgTc2Hg at its relaxed geometry at the PBE level of DFT.

a b c (Å): 4.732 4.732 5.188
angles (deg): 82.94 82.94 35.71
Atoms (fractional coordinates):
Tc 0.997 0.997 0.032
Tc 0.250 0.250 0.208
Mg 0.750 0.750 0.742
Hg 0.503 0.503 0.517

Values from the calculation:
Energy relative to the lowest polymorph listed for this composition   1.05 eV/f.u.
Crystal system   monoclinic
Space group   Cm, No. 8

=====

Computed, not measured: crystalline Mg3TcHg at its relaxed geometry at the PBE level of DFT.

a b c (Å): 5.062 5.062 5.062
angles (deg): 90.00 90.00 90.00
Atoms (fractional coordinates):
Mg 0.000 0.500 0.000
Mg 0.500 0.000 0.000
Mg 0.000 0.000 0.500
Hg 0.500 0.500 0.500
Tc 0.000 0.000 0.000

Values from the calculation:
Energy relative to the lowest polymorph listed for this composition   0.00 eV/f.u.
Crystal system   cubic
Space group   Pm-3m, No. 221

=====

Computed, not measured: crystalline MgTc2Hg at its relaxed geometry at the PBE level of DFT.

a b c (Å): 3.045 3.045 7.451
angles (deg): 90.00 90.00 90.00
Atoms (fractional coordinates):
Mg 0.500 0.500 0.775
Hg 0.000 0.000 0.492
Tc 0.500 0.500 0.210
Tc 0.000 0.000 0.024

Values from the calculation:
Energy relative to the lowest polymorph listed for this composition   0.00 eV/f.u.
Crystal system   tetragonal
Space group   P4mm, No. 99

=====

Computed, not measured: crystalline MgTc2Hg at its relaxed geometry at the PBE level of DFT.

a b c (Å): 4.815 2.816 5.082
angles (deg): 83.87 90.00 90.00
Atoms (fractional coordinates):
Mg 0.500 0.750 0.750
Tc 0.000 0.424 0.524
Hg 0.500 0.250 0.250
Tc 0.000 0.076 0.976

Values from the calculation:
Energy relative to the lowest polymorph listed for this composition   1.38 eV/f.u.
Crystal system   monoclinic
Space group   P2/m, No. 10

=====

Computed, not measured: crystalline MgTc2Hg at its relaxed geometry at the PBE level of DFT.

a b c (Å): 4.533 4.533 4.533
angles (deg): 60.00 60.00 60.00
Atoms (fractional coordinates):
Mg 0.750 0.750 0.750
Tc 0.250 0.250 0.250
Hg 0.500 0.500 0.500
Tc 0.000 0.000 0.000

Values from the calculation:
Energy relative to the lowest polymorph listed for this composition   1.08 eV/f.u.
Crystal system   cubic
Space group   F-43m, No. 216

=====

Computed, not measured: crystalline MgTc2Hg at its relaxed geometry at the PBE level of DFT.

a b c (Å): 7.596 7.596 5.961
angles (deg): 50.42 50.42 90.00
Site moments in Bohr magnetons follow the coordinates.
Atoms (fractional coordinates):
Tc 0.875 0.882 0.750  0.86
Tc 0.118 0.625 0.250  0.86
Hg 0.000 0.000 0.000  -0.01
Tc 0.375 0.368 0.750  0.86
Mg 0.500 0.500 0.000  -0.01
Mg 0.250 0.750 0.500  -0.01
Tc 0.632 0.125 0.250  0.86
Hg 0.750 0.250 0.500  -0.01

Values from the calculation:
Energy relative to the lowest polymorph listed for this composition   3.54 eV/f.u.
Crystal system   tetragonal
Space group   I-42d, No. 122

=====

Computed, not measured: crystalline MgTcHg at its relaxed geometry at the PBE level of DFT.

a b c (Å): 5.360 5.360 5.360
angles (deg): 148.60 137.98 53.38
Atoms (fractional coordinates):
Hg 0.999 0.999 0.000
Tc 0.674 0.674 0.000
Mg 0.327 0.327 0.000

Values from the calculation:
Energy relative to the lowest polymorph listed for this composition   0.14 eV/f.u.
Crystal system   orthorhombic
Space group   Imm2, No. 44

=====

Computed, not measured: crystalline Mg4TcHg at its relaxed geometry at the PBE level of DFT.

a b c (Å): 5.526 5.526 5.526
angles (deg): 60.00 60.00 60.00
Site moments in Bohr magnetons follow the coordinates.
Atoms (fractional coordinates):
Tc 0.750 0.750 0.750  1.54
Mg 0.873 0.376 0.376  -0.01
Hg 0.000 0.000 0.000  0.01
Mg 0.376 0.873 0.376  -0.01
Mg 0.376 0.376 0.873  -0.01
Mg 0.376 0.376 0.376  -0.01

Values from the calculation:
Crystal system   cubic
Space group   F-43m, No. 216

=====

Computed size of the total moment, in the same sequence as the records: 0.00, 0.00, 0.00, 0.00, 0.00, 1.86, 0.00, 1.66 μB per formula unit.
Computed uncorrected energy, in the same sequence as the records: -5.3284, -2.3695, -5.5909, -5.2451, -5.3222, -4.7071, -3.6718, -2.3729 eV/atom.